# 1
Below is a geometry-optimized ZnCoHg structure, with properties calculated at the GGA-PBE level.

```
data_ZnCoHg
_cell_length_a 4.2119
_cell_length_b 4.2119
_cell_length_c 4.2119
_cell_angle_alpha 60.00
_cell_angle_beta 60.00
_cell_angle_gamma 60.00
_space_group_name_H-M_alt 'P 1'
_space_group_IT_number 1
_space_group_name_Hall 'P 1'
loop_
_atom_site_label
_atom_site_type_symbol
_atom_site_fract_x
_atom_site_fract_y
_atom_site_fract_z
Co1 Co 0.7500 0.7500 0.7500
Hg1 Hg 0.0000 0.0000 0.0000
Zn1 Zn 0.5000 0.5000 0.5000
```

Output
calculated formation energy: 0.418 eV/atom
crystal system: cubic
symmetry: No. 216
E above lowest polymorph: 162 meV per atom

***

# 2
Below is a geometry-optimized Zn2Co2Hg structure, with properties calculated at the GGA-PBE level.

```
data_Zn2Co2Hg
_cell_length_a 7.0878
_cell_length_b 7.0878
_cell_length_c 2.8888
_cell_angle_alpha 90.00
_cell_angle_beta 90.00
_cell_angle_gamma 90.00
_space_group_name_H-M_alt 'P 1'
_space_group_IT_number 1
_space_group_name_Hall 'P 1'
loop_
_atom_site_label
_atom_site_type_symbol
_atom_site_fract_x
_atom_site_fract_y
_atom_site_fract_z
Zn1 Zn 0.1753 0.6753 0.5000
Zn2 Zn 0.6753 0.8247 0.5000
Zn3 Zn 0.8247 0.3247 0.5000
Zn4 Zn 0.3247 0.1753 0.5000
Co1 Co 0.3848 0.8848 0.0000
Co2 Co 0.8848 0.6152 0.0000
Co3 Co 0.6152 0.1152 0.0000
Co4 Co 0.1152 0.3848 0.0000
Hg1 Hg 0.0000 0.0000 0.0000
Hg2 Hg 0.5000 0.5000 0.0000
```

Output
calculated formation energy: 0.186 eV/atom
crystal system: tetragonal
symmetry: No. 127
E above lowest polymorph: 0 meV per atom

***

# 3
Below is a geometry-optimized ZnCoHg3 structure, with properties calculated at the GGA-PBE level.

```
data_ZnCoHg3
_cell_length_a 5.1306
_cell_length_b 5.1306
_cell_length_c 5.1306
_cell_angle_alpha 90.00
_cell_angle_beta 90.00
_cell_angle_gamma 90.00
_space_group_name_H-M_alt 'P 1'
_space_group_IT_number 1
_space_group_name_Hall 'P 1'
loop_
_atom_site_label
_atom_site_type_symbol
_atom_site_fract_x
_atom_site_fract_y
_atom_site_fract_z
Zn1 Zn 0.0000 0.0000 0.0000
Co1 Co 0.5000 0.5000 0.5000
Hg1 Hg 0.0000 0.5000 0.0000
Hg2 Hg 0.0000 0.0000 0.5000
Hg3 Hg 0.5000 0.0000 0.0000
```

Output
calculated formation energy: 0.834 eV/atom
crystal system: cubic
symmetry: No. 221
E above lowest polymorph: 380 meV per atom

***

# 4
Below is a geometry-optimized ZnCoHg2 structure, with properties calculated at the GGA-PBE level.

```
data_ZnCoHg2
_cell_length_a 3.0159
_cell_length_b 3.0159
_cell_length_c 7.8348
_cell_angle_alpha 90.00
_cell_angle_beta 90.00
_cell_angle_gamma 90.00
_space_group_name_H-M_alt 'P 1'
_space_group_IT_number 1
_space_group_name_Hall 'P 1'
loop_
_atom_site_label
_atom_site_type_symbol
_atom_site_fract_x
_atom_site_fract_y
_atom_site_fract_z
Co1 Co 0.5000 0.5000 0.7187
Hg1 Hg 0.0000 0.0000 0.9445
Hg2 Hg 0.5000 0.5000 0.2793
Zn1 Zn 0.0000 0.0000 0.5575
```

Output
calculated formation energy: 0.243 eV/atom
crystal system: tetragonal
symmetry: No. 99

***

# 5
Below is a geometry-optimized ZnCoHg2 structure, with properties calculated at the GGA-PBE level.

```
data_ZnCoHg2
_cell_length_a 4.2838
_cell_length_b 4.2848
_cell_length_c 3.7169
_cell_angle_alpha 90.00
_cell_angle_beta 90.00
_cell_angle_gamma 90.00
_space_group_name_H-M_alt 'P 1'
_space_group_IT_number 1
_space_group_name_Hall 'P 1'
loop_
_atom_site_label
_atom_site_type_symbol
_atom_site_fract_x
_atom_site_fract_y
_atom_site_fract_z
Co1 Co 0.0000 0.5000 0.5000
Hg1 Hg 0.0000 0.0000 0.0000
Hg2 Hg 0.5000 0.5000 0.0000
Zn1 Zn 0.5000 0.0000 0.5000
```

Output
calculated formation energy: 0.342 eV/atom
crystal system: tetragonal
symmetry: No. 123

***

# 6
Below is a geometry-optimized ZnCoHg2 structure, with properties calculated at the GGA-PBE level.

```
data_ZnCoHg2
_cell_length_a 4.8036
_cell_length_b 4.8036
_cell_length_c 5.3620
_cell_angle_alpha 78.36
_cell_angle_beta 78.36
_cell_angle_gamma 36.35
_space_group_name_H-M_alt 'P 1'
_space_group_IT_number 1
_space_group_name_Hall 'P 1'
loop_
_atom_site_label
_atom_site_type_symbol
_atom_site_fract_x
_atom_site_fract_y
_atom_site_fract_z
Co1 Co 0.2500 0.2500 0.2500
Hg1 Hg 0.9938 0.9938 0.0092
Hg2 Hg 0.5062 0.5062 0.4908
Zn1 Zn 0.7500 0.7500 0.7500
```

Output
calculated formation energy: 0.404 eV/atom
crystal system: monoclinic
symmetry: No. 12

***

# 7
Below is a geometry-optimized ZnCo2Hg2 structure, with properties calculated at the GGA-PBE level.

```
data_ZnCo2Hg2
_cell_length_a 6.2705
_cell_length_b 6.2705
_cell_length_c 4.1049
_cell_angle_alpha 90.00
_cell_angle_beta 90.00
_cell_angle_gamma 90.00
_space_group_name_H-M_alt 'P 1'
_space_group_IT_number 1
_space_group_name_Hall 'P 1'
loop_
_atom_site_label
_atom_site_type_symbol
_atom_site_fract_x
_atom_site_fract_y
_atom_site_fract_z
Zn1 Zn 0.0000 0.0000 0.0000
Zn2 Zn 0.5000 0.5000 0.0000
Co1 Co 0.3720 0.8720 0.0000
Co2 Co 0.8720 0.6280 0.0000
Co3 Co 0.6280 0.1280 0.0000
Co4 Co 0.1280 0.3720 0.0000
Hg1 Hg 0.1740 0.6740 0.5000
Hg2 Hg 0.6740 0.8260 0.5000
Hg3 Hg 0.8260 0.3260 0.5000
Hg4 Hg 0.3260 0.1740 0.5000
```

Output
calculated formation energy: 0.302 eV/atom
crystal system: tetragonal
symmetry: No. 127

***

# 8
Below is a geometry-optimized ZnCoHg2 structure, with properties calculated at the GGA-PBE level.

```
data_ZnCoHg2
_cell_length_a 3.1141
_cell_length_b 3.1141
_cell_length_c 7.1961
_cell_angle_alpha 90.00
_cell_angle_beta 90.00
_cell_angle_gamma 90.02
_space_group_name_H-M_alt 'P 1'
_space_group_IT_number 1
_space_group_name_Hall 'P 1'
loop_
_atom_site_label
_atom_site_type_symbol
_atom_site_fract_x
_atom_site_fract_y
_atom_site_fract_z
Co1 Co 0.5000 0.5000 0.7500
Hg1 Hg 0.0000 0.0000 0.9831
Hg2 Hg 0.0000 0.0000 0.5169
Zn1 Zn 0.5000 0.5000 0.2500
```

Output
calculated formation energy: 0.372 eV/atom
crystal system: tetragonal
symmetry: No. 123

***

# 9
Below is a geometry-optimized ZnCoHg2 structure, with properties calculated at the GGA-PBE level.

```
data_ZnCoHg2
_cell_length_a 4.6972
_cell_length_b 4.6972
_cell_length_c 3.2033
_cell_angle_alpha 90.00
_cell_angle_beta 90.00
_cell_angle_gamma 101.89
_space_group_name_H-M_alt 'P 1'
_space_group_IT_number 1
_space_group_name_Hall 'P 1'
loop_
_atom_site_label
_atom_site_type_symbol
_atom_site_fract_x
_atom_site_fract_y
_atom_site_fract_z
Co1 Co 0.0000 0.5000 0.5000
Hg1 Hg 0.0000 0.0000 0.0000
Hg2 Hg 0.5000 0.5000 0.0000
Zn1 Zn 0.5000 0.0000 0.5000
```

Output
calculated formation energy: 0.352 eV/atom
crystal system: orthorhombic
symmetry: No. 65

***

# 10
Below is a geometry-optimized ZnCoHg structure, with properties calculated at the GGA-PBE level.

```
data_ZnCoHg
_cell_length_a 4.3609
_cell_length_b 4.3609
_cell_length_c 2.8467
_cell_angle_alpha 90.00
_cell_angle_beta 90.00
_cell_angle_gamma 120.00
_space_group_name_H-M_alt 'P 1'
_space_group_IT_number 1
_space_group_name_Hall 'P 1'
loop_
_atom_site_label
_atom_site_type_symbol
_atom_site_fract_x
_atom_site_fract_y
_atom_site_fract_z
Co1 Co 0.0000 0.0000 0.9101
Hg1 Hg 0.6667 0.3333 0.3582
Zn1 Zn 0.3333 0.6667 0.7317
```

Output
calculated formation energy: 0.356 eV/atom
crystal system: trigonal
symmetry: No. 156
E above lowest polymorph: 100 meV per atom

***

# 11
Below is a geometry-optimized ZnCoHg2 structure, with properties calculated at the GGA-PBE level.

```
data_ZnCoHg2
_cell_length_a 5.2610
_cell_length_b 5.2610
_cell_length_c 5.2610
_cell_angle_alpha 136.04
_cell_angle_beta 136.04
_cell_angle_gamma 63.91
_space_group_name_H-M_alt 'P 1'
_space_group_IT_number 1
_space_group_name_Hall 'P 1'
loop_
_atom_site_label
_atom_site_type_symbol
_atom_site_fract_x
_atom_site_fract_y
_atom_site_fract_z
Co1 Co 0.7500 0.2500 0.5000
Hg1 Hg 0.0000 0.0000 0.0000
Hg2 Hg 0.2500 0.7500 0.5000
Zn1 Zn 0.5000 0.5000 0.0000
```

Output
calculated formation energy: 0.371 eV/atom
crystal system: tetragonal
symmetry: No. 119

***

# 12
Below is a geometry-optimized ZnCoHg2 structure, with properties calculated at the GGA-PBE level.

```
data_ZnCoHg2
_cell_length_a 6.4193
_cell_length_b 6.4193
_cell_length_c 4.4875
_cell_angle_alpha 69.64
_cell_angle_beta 69.64
_cell_angle_gamma 25.89
_space_group_name_H-M_alt 'P 1'
_space_group_IT_number 1
_space_group_name_Hall 'P 1'
loop_
_atom_site_label
_atom_site_type_symbol
_atom_site_fract_x
_atom_site_fract_y
_atom_site_fract_z
Co1 Co 0.2430 0.2430 0.2571
Hg1 Hg 0.9442 0.9442 0.0556
Hg2 Hg 0.7414 0.7414 0.7587
Zn1 Zn 0.5714 0.5714 0.4286
```

Output
calculated formation energy: 0.249 eV/atom
crystal system: monoclinic
symmetry: No. 8

***

| no. | density of states at the Fermi level (states/eV/cell) | M_tot (μB/f.u.) |
| --- | --- | --- |
| 1 | 2.7 | 0.000 |
| 2 | 11.6 | 2.106 |
| 3 | 2.9 | 2.270 |
| 4 | 3.2 | 0.240 |
| 5 | 3.6 | 1.024 |
| 6 | 3.8 | 1.510 |
| 7 | 8.0 | 1.977 |
| 8 | 4.9 | 1.390 |
| 9 | 3.3 | 1.319 |
| 10 | 2.4 | 1.247 |
| 11 | 3.1 | 0.835 |
| 12 | 2.4 | 0.311 |